1.
# PuTi2Pt3 | Alexandria via LeMat-Bulk | PBE-GGA | optimized geometry
# **Final energy**: -53.00 eV per cell
# **Formation energy**: -0.79 eV/atom
# **D(E_F)**: 9.84 states/eV/cell
# **Spin magnetization**: 4.6 μB/cell
data_PuTi2Pt3
_cell_length_a 2.9126
_cell_length_b 2.9126
_cell_length_c 12.0434
_cell_angle_alpha 90.00
_cell_angle_beta 90.00
_cell_angle_gamma 90.00
_symmetry_space_group_name_H-M 'P 4/m m m'
_symmetry_Int_Tables_number 123
_symmetry_space_group_name_Hall '-P 4 2'
loop_
_atom_site_label
_atom_site_fract_x
_atom_site_fract_y
_atom_site_fract_z
Pu1 0.0000 0.0000 0.0000
Ti1 0.0000 0.0000 0.3428
Pt1 0.5000 0.5000 0.1954
Pt2 0.5000 0.5000 0.5000

=====

2.
# TeP2 | Alexandria via LeMat-Bulk | PBE-GGA | optimized geometry
# **Final energy**: -51.92 eV per cell
# **ΔE_f (raw)**: 327 meV/atom
# **D(E_F)**: 9.84 states/eV/cell
# **Spin magnetization**: 0.0 μB/cell
data_TeP2
_cell_length_a 3.1466
_cell_length_b 20.6916
_cell_length_c 5.5778
_cell_angle_alpha 90.00
_cell_angle_beta 90.00
_cell_angle_gamma 90.00
_symmetry_space_group_name_H-M 'C m c m'
_symmetry_Int_Tables_number 63
_symmetry_space_group_name_Hall '-C 2c 2'
loop_
_atom_site_label
_atom_site_fract_x
_atom_site_fract_y
_atom_site_fract_z
Te1 0.0000 0.1278 0.2500
P1 0.0000 0.1613 0.7500
P2 0.0000 0.4112 0.2500

=====

3.
# CaIrBr | Alexandria via LeMat-Bulk | PBE-GGA | optimized geometry
# **Final energy**: -52.29 eV per cell
# **ΔE_f (raw)**: -179 meV/atom
# **Polymorph energy (0 for the lowest one)**: 0.893 eV/atom
# **D(E_F)**: 0.12 states/eV/cell
# **Spin magnetization**: 0.0 μB/cell
data_CaIrBr
_cell_length_a 8.2091
_cell_length_b 3.9625
_cell_length_c 8.4271
_cell_angle_alpha 90.00
_cell_angle_beta 90.00
_cell_angle_gamma 90.00
_symmetry_space_group_name_H-M 'P n m a'
_symmetry_Int_Tables_number 62
_symmetry_space_group_name_Hall '-P 2ac 2n'
loop_
_atom_site_label
_atom_site_fract_x
_atom_site_fract_y
_atom_site_fract_z
Ca1 0.0315 0.2500 0.2038
Ir1 0.2312 0.2500 0.8523
Br1 0.2157 0.2500 0.5584

=====

4.
# SiSbPt5 | Alexandria via LeMat-Bulk | PBE-GGA | optimized geometry
# **Final energy**: -41.74 eV per cell
# **ΔE_f (raw)**: -285 meV/atom
# **Polymorph energy (0 for the lowest one)**: 0.151 eV/atom
# **D(E_F)**: 3.89 states/eV/cell
# **Spin magnetization**: 0.0 μB/cell
data_SiSbPt5
_cell_length_a 3.9478
_cell_length_b 3.9478
_cell_length_c 7.6422
_cell_angle_alpha 90.00
_cell_angle_beta 90.00
_cell_angle_gamma 90.00
_symmetry_space_group_name_H-M 'P 4/m m m'
_symmetry_Int_Tables_number 123
_symmetry_space_group_name_Hall '-P 4 2'
loop_
_atom_site_label
_atom_site_fract_x
_atom_site_fract_y
_atom_site_fract_z
Si1 0.0000 0.0000 0.0000
Sb1 0.5000 0.5000 0.5000
Pt1 0.0000 0.5000 0.2520
Pt2 0.5000 0.5000 0.0000

=====

5.
# TlCr2Os | Alexandria via LeMat-Bulk | PBE-GGA | optimized geometry
# **Final energy**: -60.69 eV per cell
# **Formation energy**: 0.62 eV/atom
# **Polymorph energy (0 for the lowest one)**: 0.142 eV/atom
# **D(E_F)**: 6.02 states/eV/cell
# **Spin magnetization**: 0.8 μB/cell
data_TlCr2Os
_cell_length_a 3.0220
_cell_length_b 4.5678
_cell_length_c 8.9441
_cell_angle_alpha 90.00
_cell_angle_beta 90.00
_cell_angle_gamma 90.00
_symmetry_space_group_name_H-M 'I m m 2'
_symmetry_Int_Tables_number 44
_symmetry_space_group_name_Hall 'I 2 -2'
loop_
_atom_site_label
_atom_site_fract_x
_atom_site_fract_y
_atom_site_fract_z
Tl1 0.0000 0.0000 0.0000
Cr1 0.0000 0.0000 0.4870
Cr2 0.0000 0.5000 0.7690
Os1 0.0000 0.5000 0.2233

=====

6.
# Pr12Dy3Ho | Alexandria via LeMat-Bulk | PBE-GGA | optimized geometry
# **Final energy**: -75.54 eV per cell
# **Formation energy**: 0.01 eV/atom
# **D(E_F)**: 24.45 states/eV/cell
# **Spin magnetization**: 0.0 μB/cell
data_Pr12Dy3Ho
_cell_length_a 5.1921
_cell_length_b 5.1921
_cell_length_c 20.7060
_cell_angle_alpha 90.00
_cell_angle_beta 90.00
_cell_angle_gamma 90.00
_symmetry_space_group_name_H-M 'P 4/m m m'
_symmetry_Int_Tables_number 123
_symmetry_space_group_name_Hall '-P 4 2'
loop_
_atom_site_label
_atom_site_fract_x
_atom_site_fract_y
_atom_site_fract_z
Pr1 0.0000 0.0000 0.0000
Pr2 0.0000 0.0000 0.2504
Pr3 0.0000 0.0000 0.5000
Pr4 0.0000 0.5000 0.1252
Pr5 0.0000 0.5000 0.3754
Dy1 0.5000 0.5000 0.0000
Dy2 0.5000 0.5000 0.2504
Ho1 0.5000 0.5000 0.5000

=====

7.
# Th4CSe2N | Alexandria via LeMat-Bulk | PBE-GGA | optimized geometry
# **Final energy**: -64.67 eV per cell
# **ΔE_f (raw)**: -1310 meV/atom
# **D(E_F)**: 4.55 states/eV/cell
# **Spin magnetization**: 0.0 μB/cell
data_Th4CSe2N
_cell_length_a 6.6413
_cell_length_b 3.8428
_cell_length_c 7.2965
_cell_angle_alpha 90.00
_cell_angle_beta 107.79
_cell_angle_gamma 90.00
_symmetry_space_group_name_H-M 'P 1 2/m 1'
_symmetry_Int_Tables_number 10
_symmetry_space_group_name_Hall '-P 2y'
loop_
_atom_site_label
_atom_site_fract_x
_atom_site_fract_y
_atom_site_fract_z
Th1 0.2320 0.0000 0.2002
Th2 0.2645 0.5000 0.7993
C1 0.5000 0.0000 0.0000
Se1 0.0000 0.0000 0.5000
Se2 0.5000 0.5000 0.5000
N1 0.0000 0.5000 0.0000

=====

8.
# BaBePb2 | Alexandria via LeMat-Bulk | PBE-GGA | optimized geometry
# **Final energy**: -12.36 eV per cell
# **Formation energy**: 0.18 eV/atom
# **D(E_F)**: 2.08 states/eV/cell
# **Spin magnetization**: 0.0 μB/cell
data_BaBePb2
_cell_length_a 3.7867
_cell_length_b 3.7867
_cell_length_c 7.9968
_cell_angle_alpha 90.00
_cell_angle_beta 90.00
_cell_angle_gamma 90.00
_symmetry_space_group_name_H-M 'P 4/m m m'
_symmetry_Int_Tables_number 123
_symmetry_space_group_name_Hall '-P 4 2'
loop_
_atom_site_label
_atom_site_fract_x
_atom_site_fract_y
_atom_site_fract_z
Ba1 0.0000 0.0000 0.0000
Be1 0.0000 0.0000 0.5000
Pb1 0.5000 0.5000 0.3135